one.
# ScBeTe3

Crystalline ScBeTe3 at its relaxed geometry (GGA-PBE, Alexandria via LeMat-Bulk).

The structure belongs to space group Pm-3m (No. 221); the cell edges are 5.522, 5.522 and 5.522 Å and the angles 90.00°, 90.00° and 90.00°. The distinct sites, in fractional coordinates, are Sc at (0.000, 0.000, 0.000), Be at (0.500, 0.500, 0.500) and Te at (0.000, 0.000, 0.500).

---

two.
# ScBeTe3

Crystalline ScBeTe3 at its relaxed geometry (GGA-PBE, Alexandria via LeMat-Bulk).

The structure belongs to space group Pm-3m (No. 221); the cell edges are 5.013, 5.013 and 5.013 Å and the angles 90.00°, 90.00° and 90.00°. The distinct sites, in fractional coordinates, are Sc at (0.000, 0.000, 0.000), Be at (0.500, 0.500, 0.500) and Te at (0.000, 0.500, 0.500).

---

Ordering by calculated energy gives the sequence two, one, with the first entry being the most stable.